(1)
Material: NaCa6TiSi4O18
Method: DFT, PBE
State: relaxed

```
data_NaCa6TiSi4O18
_chemical_formula_sum 'Na1 Ca6 Ti1 Si4 O18'
_cell_length_a 5.692
_cell_length_b 7.592
_cell_length_c 9.818
_cell_angle_alpha 78.35
_cell_angle_beta 79.52
_cell_angle_gamma 89.42
_space_group_name_H-M_alt 'P -1'
_space_group_IT_number 2
loop_
_space_group_symop_operation_xyz
'x,y,z'
'-x,-y,-z'
loop_
_atom_site_label
_atom_site_type_symbol
_atom_site_fract_x
_atom_site_fract_y
_atom_site_fract_z
Na1 Na 0.000 0.000 0.000
Ca1 Ca 0.193 0.905 0.373
Ca2 Ca 0.208 0.409 0.355
Ca3 Ca 0.490 0.697 0.027
Ti1 Ti 0.000 0.500 0.000
Si1 Si 0.245 0.274 0.728
Si2 Si 0.260 0.850 0.720
O1 O 0.080 0.826 0.612
O2 O 0.093 0.363 0.609
O3 O 0.147 0.320 0.886
O4 O 0.171 0.052 0.760
O5 O 0.207 0.709 0.874
O6 O 0.247 0.455 0.109
O7 O 0.397 0.995 0.050
O8 O 0.457 0.145 0.346
O9 O 0.465 0.692 0.302
```

Calculated values
* E: -216.53 eV/f.u.
* energy relative to the elements, uncorrected: -2.8123 eV/atom

=====

(2)
Material: NaCa2ZrSi2O9
Method: DFT, PBE
State: relaxed

```
data_NaCa2ZrSi2O9
_chemical_formula_sum 'Na4 Ca8 Zr4 Si8 O36'
_cell_length_a 7.519
_cell_length_b 10.490
_cell_length_c 10.984
_cell_angle_alpha 90.00
_cell_angle_beta 109.76
_cell_angle_gamma 90.00
_space_group_name_H-M_alt 'P 1 21 1'
_space_group_IT_number 4
loop_
_space_group_symop_operation_xyz
'x,y,z'
'-x,y+1/2,-z'
loop_
_atom_site_label
_atom_site_type_symbol
_atom_site_fract_x
_atom_site_fract_y
_atom_site_fract_z
Na1 Na 0.064 0.000 0.369
Na2 Na 0.203 0.160 0.125
Ca1 Ca 0.055 0.379 0.354
Ca2 Ca 0.195 0.779 0.154
Ca3 Ca 0.326 0.655 0.873
Ca4 Ca 0.453 0.892 0.653
Zr1 Zr 0.303 0.290 0.846
Zr2 Zr 0.433 0.524 0.623
Si1 Si 0.047 0.703 0.434
Si2 Si 0.119 0.461 0.060
Si3 Si 0.302 0.962 0.928
Si4 Si 0.377 0.205 0.574
O1 O 0.005 0.683 0.761
O2 O 0.026 0.225 0.725
O3 O 0.116 0.947 0.978
O4 O 0.144 0.183 0.522
O5 O 0.150 0.829 0.512
O6 O 0.151 0.348 0.965
O7 O 0.159 0.568 0.477
O8 O 0.159 0.605 0.017
O9 O 0.226 0.430 0.212
O10 O 0.252 0.924 0.778
O11 O 0.285 0.456 0.748
O12 O 0.299 0.959 0.274
O13 O 0.379 0.108 0.963
O14 O 0.398 0.341 0.506
O15 O 0.438 0.848 0.016
O16 O 0.461 0.081 0.527
O17 O 0.461 0.215 0.732
O18 O 0.485 0.683 0.727
```

Calculated values
* E: -111.21 eV/f.u.
* energy relative to the elements, uncorrected: -2.7910 eV/atom

=====

(3)
Material: NaCa2SmO4
Method: DFT, PBE
State: relaxed

```
data_NaCa2SmO4
_chemical_formula_sum 'Na2 Ca4 Sm2 O8'
_cell_length_a 4.802
_cell_length_b 4.802
_cell_length_c 10.005
_cell_angle_alpha 90.00
_cell_angle_beta 90.00
_cell_angle_gamma 90.00
_space_group_name_H-M_alt 'I 4/m m m'
_space_group_IT_number 139
_space_group_name_Hall '-I 4 2'
loop_
_atom_site_label
_atom_site_type_symbol
_atom_site_fract_x
_atom_site_fract_y
_atom_site_fract_z
Na1 Na 0.000 0.000 0.000
Ca1 Ca 0.000 0.500 0.250
Sm1 Sm 0.000 0.000 0.500
O1 O 0.000 0.000 0.267
O2 O 0.000 0.500 0.000
```

Calculated values
* E: -52.38 eV/f.u.
* energy relative to the elements, uncorrected: -2.8134 eV/atom

=====

(4)
Material: NaCa2SnO
Method: DFT, PBE
State: relaxed

```
data_NaCa2SnO
_chemical_formula_sum 'Na1 Ca2 Sn1 O1'
_cell_length_a 4.763
_cell_length_b 4.763
_cell_length_c 4.936
_cell_angle_alpha 90.00
_cell_angle_beta 90.00
_cell_angle_gamma 90.00
_space_group_name_H-M_alt 'P 4/m m m'
_space_group_IT_number 123
_space_group_name_Hall '-P 4 2'
loop_
_atom_site_label
_atom_site_type_symbol
_atom_site_fract_x
_atom_site_fract_y
_atom_site_fract_z
Na1 Na 0.000 0.000 0.000
Ca1 Ca 0.000 0.500 0.500
Sn1 Sn 0.500 0.500 0.000
O1 O 0.000 0.000 0.500
```

Calculated values
* E: -20.99 eV/f.u.
* energy relative to the elements, uncorrected: -1.3419 eV/atom

=====

(5)
Material: NaCa2SnO4
Method: DFT, PBE
State: relaxed

```
data_NaCa2SnO4
_chemical_formula_sum 'Na1 Ca2 Sn1 O4'
_cell_length_a 5.774
_cell_length_b 3.457
_cell_length_c 5.860
_cell_angle_alpha 90.00
_cell_angle_beta 107.95
_cell_angle_gamma 90.00
_space_group_name_H-M_alt 'P 1 2/m 1'
_space_group_IT_number 10
loop_
_space_group_symop_operation_xyz
'x,y,z'
'-x,-y,-z'
'-x,y,-z'
'x,-y,z'
loop_
_atom_site_label
_atom_site_type_symbol
_atom_site_fract_x
_atom_site_fract_y
_atom_site_fract_z
Na1 Na 0.000 0.000 0.000
Ca1 Ca 0.500 0.000 0.500
Ca2 Ca 0.500 0.500 0.000
Sn1 Sn 0.000 0.500 0.500
O1 O 0.246 0.000 0.743
O2 O 0.255 0.500 0.272
```

Calculated values
* E: -46.10 eV/f.u.
* energy relative to the elements, uncorrected: -2.1172 eV/atom

=====

(6)
Material: NaCaSnO2
Method: DFT, PBE
State: relaxed

```
data_NaCaSnO2
_chemical_formula_sum 'Na1 Ca1 Sn1 O2'
_cell_length_a 4.488
_cell_length_b 4.488
_cell_length_c 5.968
_cell_angle_alpha 90.00
_cell_angle_beta 90.00
_cell_angle_gamma 90.00
_space_group_name_H-M_alt 'P 4/m m m'
_space_group_IT_number 123
_space_group_name_Hall '-P 4 2'
loop_
_atom_site_label
_atom_site_type_symbol
_atom_site_fract_x
_atom_site_fract_y
_atom_site_fract_z
Na1 Na 0.000 0.000 0.000
Ca1 Ca 0.500 0.500 0.500
Sn1 Sn 0.500 0.500 0.000
O1 O 0.000 0.500 0.500
```

Calculated values
* E: -19.00 eV/f.u.
* energy relative to the elements, uncorrected: -0.3523 eV/atom

=====

(7)
Material: Na3Ca2SnO6
Method: DFT, PBE
State: relaxed

```
data_Na3Ca2SnO6
_chemical_formula_sum 'Na6 Ca4 Sn2 O12'
_cell_length_a 5.860
_cell_length_b 10.142
_cell_length_c 5.865
_cell_angle_alpha 90.00
_cell_angle_beta 109.69
_cell_angle_gamma 90.00
_space_group_name_H-M_alt 'C 1 2/m 1'
_space_group_IT_number 12
loop_
_space_group_symop_operation_xyz
'x,y,z'
'-x,-y,-z'
'-x,y,-z'
'x,-y,z'
'x+1/2,y+1/2,z'
'-x+1/2,-y+1/2,-z'
'-x+1/2,y+1/2,-z'
'x+1/2,-y+1/2,z'
loop_
_atom_site_label
_atom_site_type_symbol
_atom_site_fract_x
_atom_site_fract_y
_atom_site_fract_z
Na1 Na 0.000 0.000 0.000
Na2 Na 0.000 0.336 0.000
Ca1 Ca 0.000 0.167 0.500
Sn1 Sn 0.000 0.500 0.500
O1 O 0.224 0.348 0.717
O2 O 0.232 0.500 0.289
```

Calculated values
* E: -65.32 eV/f.u.
* energy relative to the elements, uncorrected: -1.9675 eV/atom

=====

(8)
Material: NaSrCa2O
Method: DFT, PBE
State: relaxed

```
data_NaSrCa2O
_chemical_formula_sum 'Na1 Sr1 Ca2 O1'
_cell_length_a 4.935
_cell_length_b 4.935
_cell_length_c 5.870
_cell_angle_alpha 90.00
_cell_angle_beta 90.00
_cell_angle_gamma 90.00
_space_group_name_H-M_alt 'P 4/m m m'
_space_group_IT_number 123
_space_group_name_Hall '-P 4 2'
loop_
_atom_site_label
_atom_site_type_symbol
_atom_site_fract_x
_atom_site_fract_y
_atom_site_fract_z
Na1 Na 0.000 0.000 0.000
Sr1 Sr 0.500 0.500 0.000
Ca1 Ca 0.000 0.500 0.500
O1 O 0.500 0.500 0.500
```

Calculated values
* E: -16.84 eV/f.u.
* energy relative to the elements, uncorrected: -0.9752 eV/atom

=====

(9)
Material: NaSr2CaO
Method: DFT, PBE
State: relaxed

```
data_NaSr2CaO
_chemical_formula_sum 'Na1 Sr2 Ca1 O1'
_cell_length_a 5.614
_cell_length_b 5.614
_cell_length_c 4.839
_cell_angle_alpha 90.00
_cell_angle_beta 90.00
_cell_angle_gamma 90.00
_space_group_name_H-M_alt 'P 4/m m m'
_space_group_IT_number 123
_space_group_name_Hall '-P 4 2'
loop_
_atom_site_label
_atom_site_type_symbol
_atom_site_fract_x
_atom_site_fract_y
_atom_site_fract_z
Na1 Na 0.000 0.000 0.000
Sr1 Sr 0.000 0.500 0.500
Ca1 Ca 0.500 0.500 0.000
O1 O 0.500 0.500 0.500
```

Calculated values
* E: -16.48 eV/f.u.
* energy relative to the elements, uncorrected: -0.9674 eV/atom

=====

(10)
Material: Na2Ca3Ta2O9
Method: DFT, PBE
State: relaxed

```
data_Na2Ca3Ta2O9
_chemical_formula_sum 'Na6 Ca9 Ta6 O27'
_cell_length_a 5.7113
_cell_length_b 5.7113
_cell_length_c 24.5069
_cell_angle_alpha 90.00
_cell_angle_beta 90.00
_cell_angle_gamma 120.00
_space_group_name_H-M_alt 'R 3 2'
_space_group_IT_number 155
_space_group_name_Hall 'R 3 2"'
loop_
_atom_site_label
_atom_site_type_symbol
_atom_site_fract_x
_atom_site_fract_y
_atom_site_fract_z
Na1 Na 0.0000 0.0000 0.1976
Ca1 Ca 0.0000 0.0000 0.3713
Ca2 Ca 0.0000 0.0000 0.5000
Ta1 Ta 0.0000 0.0000 0.0639
O1 O 0.0000 0.2588 0.0000
O2 O 0.0143 0.4400 0.7723
```

Calculated values
* E: -120.75 eV/f.u.
* energy relative to the elements, uncorrected: -2.7364 eV/atom

=====

(11)
Material: NaCa2Ta3O10
Method: DFT, PBE
State: relaxed

```
data_NaCa2Ta3O10
_chemical_formula_sum 'Na2 Ca4 Ta6 O20'
_cell_length_a 3.944
_cell_length_b 3.944
_cell_length_c 29.514
_cell_angle_alpha 90.00
_cell_angle_beta 90.00
_cell_angle_gamma 90.00
_space_group_name_H-M_alt 'I -4 m 2'
_space_group_IT_number 119
_space_group_name_Hall 'I -4 -2'
loop_
_atom_site_label
_atom_site_type_symbol
_atom_site_fract_x
_atom_site_fract_y
_atom_site_fract_z
Na1 Na 0.000 0.000 0.000
Ca1 Ca 0.000 0.500 0.672
Ta1 Ta 0.000 0.500 0.105
Ta2 Ta 0.000 0.500 0.250
O1 O 0.000 0.000 0.119
O2 O 0.000 0.000 0.250
O3 O 0.000 0.000 0.380
O4 O 0.000 0.500 0.044
O5 O 0.000 0.500 0.183
```

Calculated values
* E: -136.46 eV/f.u.
* energy relative to the elements, uncorrected: -2.8747 eV/atom

=====

(12)
Material: Na2Ca2TaO6
Method: DFT, PBE
State: relaxed

```
data_Na2Ca2TaO6
_chemical_formula_sum 'Na4 Ca4 Ta2 O12'
_cell_length_a 5.901
_cell_length_b 9.965
_cell_length_c 5.878
_cell_angle_alpha 90.00
_cell_angle_beta 109.16
_cell_angle_gamma 90.00
_space_group_name_H-M_alt 'C 1 2/m 1'
_space_group_IT_number 12
loop_
_space_group_symop_operation_xyz
'x,y,z'
'-x,-y,-z'
'-x,y,-z'
'x,-y,z'
'x+1/2,y+1/2,z'
'-x+1/2,-y+1/2,-z'
'-x+1/2,y+1/2,-z'
'x+1/2,-y+1/2,z'
loop_
_atom_site_label
_atom_site_type_symbol
_atom_site_fract_x
_atom_site_fract_y
_atom_site_fract_z
Na1 Na 0.000 0.160 0.000
Ca1 Ca 0.000 0.340 0.500
Ta1 Ta 0.000 0.000 0.500
O1 O 0.203 0.150 0.699
O2 O 0.218 0.000 0.301
```

Calculated values
* E: -74.83 eV/f.u.
* energy relative to the elements, uncorrected: -2.4169 eV/atom

=====

(13)
Material: NaCaTaO4
Method: DFT, PBE
State: relaxed

```
data_NaCaTaO4
_chemical_formula_sum 'Na2 Ca2 Ta2 O8'
_cell_length_a 6.323
_cell_length_b 6.164
_cell_length_c 6.888
_cell_angle_alpha 90.00
_cell_angle_beta 90.84
_cell_angle_gamma 90.00
_space_group_name_H-M_alt 'P 1 21/m 1'
_space_group_IT_number 11
loop_
_space_group_symop_operation_xyz
'x,y,z'
'-x,-y,-z'
'-x,y+1/2,-z'
'x,-y+1/2,z'
loop_
_atom_site_label
_atom_site_type_symbol
_atom_site_fract_x
_atom_site_fract_y
_atom_site_fract_z
Na1 Na 0.169 0.250 0.134
Ca1 Ca 0.341 0.250 0.577
Ta1 Ta 0.157 0.750 0.350
O1 O 0.031 0.750 0.589
O2 O 0.077 0.250 0.820
O3 O 0.351 0.518 0.332
```

Calculated values
* E: -53.54 eV/f.u.
* energy relative to the elements, uncorrected: -2.6474 eV/atom